(1)
This record from Alexandria describes CaTbAgIr after structural relaxation. The functional is PBE-GGA.

a = 7.0421 Å, b = 7.0421 Å, c = 7.0421 Å
α = 90.00°, β = 90.00°, γ = 90.00°
Last column: nearest neighbours and their distance in Å.
Space group F-43m (No. 216)
Symmetry-distinct sites (fractional):
Ca 0.0000 0.0000 0.0000 x4  4 Ir 3.05, 4 Ag 3.05
Tb 0.0000 0.0000 0.5000 x4  4 Ir 3.05, 4 Ag 3.05
Ag 0.2500 0.2500 0.2500 x4  4 Tb 3.05, 4 Ca 3.05
Ir 0.2500 0.2500 0.7500 x4  4 Tb 3.05, 4 Ca 3.05

* E_form: -435 meV per atom
* relative energy among the computed polymorphs: 3.52 kJ/mol of atoms
* magnetization: 0.00 μB per formula unit

***

(2)
This record from Alexandria describes Pr8Ge3IrCl4 after structural relaxation. The functional is PBE-GGA.

a = 8.6178 Å, b = 8.6178 Å, c = 20.9804 Å
α = 90.00°, β = 90.00°, γ = 120.00°
Last column: nearest neighbours and their distance in Å.
Space group R-3m (No. 166, hexagonal axes)
Symmetry-distinct sites (fractional):
Pr 0.0000 0.0000 0.2443 x6  3 Ge 2.97, 3 Cl 3.11
Pr 0.0107 0.5054 0.2406 x18  1 Ir 2.86, 2 Ge 2.97, 2 Cl 3.13
Ge 0.0000 0.5000 0.5000 x9  6 Pr 2.97
Ir 0.0000 0.0000 0.5000 x3  6 Pr 2.86
Cl 0.0000 0.0000 0.0000 x3  6 Pr 3.22
Cl 0.0000 0.5000 0.0000 x9  6 Pr 3.11-3.13

* raw formation energy: -1.213 eV/atom
* magnetization: 0.00 μB per formula unit